# 1
Here is ErIrNO after structural relaxation from OQMD. Energies are from PBE.

Lattice parameters (Å, degrees): 3.829 6.229 5.050 90.00 90.00 90.00
Space group Pmc2_1 (No. 26)
Inequivalent atoms, fractional coordinates:
Er: 0.000 0.199 0.000
Ir: 0.500 0.414 0.457
N: 0.500 0.304 0.812
O: 0.000 0.137 0.416

Results
**Magnetization**: 0.001 μB/atom
**Electronic total energy**: -0.2832 Ha/atom


# 2
Here is ErIrNO after structural relaxation from OQMD. Energies are from PBE.

Lattice parameters (Å, degrees): 3.911 3.911 7.164 90.00 90.00 90.00
Space group P4/nmm (No. 129, origin choice 2)
Inequivalent atoms, fractional coordinates:
Er: 0.250 0.250 0.145
Ir: 0.250 0.750 0.500
N: 0.250 0.250 0.615
O: 0.250 0.750 0.000

Results
**Magnetization**: 0.003 μB/atom
**Electronic total energy**: -0.2901 Ha/atom


# 3
Here is ErIrNO after structural relaxation from OQMD. Energies are from PBE.

Lattice parameters (Å, degrees): 3.818 5.639 4.828 90.00 90.00 90.00
Space group Pmc2_1 (No. 26)
Inequivalent atoms, fractional coordinates:
Er: 0.000 0.228 0.000
Ir: 0.500 0.356 0.506
N: 0.000 0.332 0.488
O: 0.500 0.090 0.803

Results
**Magnetization**: 0.000 μB/atom
**Electronic total energy**: -0.2885 Ha/atom


# 4
Here is ErIrNO after structural relaxation from OQMD. Energies are from PBE.

Lattice parameters (Å, degrees): 5.522 5.562 7.156 90.00 90.33 90.00
Space group Cm (No. 8)
Inequivalent atoms, fractional coordinates:
Er: 0.000 0.000 0.000
Er: 0.003 0.500 0.291
Ir: 0.261 0.253 0.646
N: 0.010 0.500 0.761
N: 0.012 0.000 0.533
O: 0.252 0.250 0.146

Results
**Magnetization**: 0.003 μB/atom
**Electronic total energy**: -0.2901 Ha/atom


# 5
Here is ErIrNO after structural relaxation from OQMD. Energies are from PBE.

Lattice parameters (Å, degrees): 4.858 4.858 4.270 90.00 90.00 90.00
Space group P4/nmm (No. 129, origin choice 2)
Inequivalent atoms, fractional coordinates:
Er: 0.250 0.750 0.000
Ir: 0.250 0.250 0.495
N: 0.250 0.250 0.994
O: 0.250 0.750 0.500

Results
**Magnetization**: 0.001 μB/atom
**Electronic total energy**: -0.2759 Ha/atom


# 6
Here is NaErIr after structural relaxation from OQMD. Energies are from PBE.

Lattice parameters (Å, degrees): 6.587 6.587 6.587 90.00 90.00 90.00
Space group F-43m (No. 216)
Inequivalent atoms, fractional coordinates:
Na: 0.000 0.000 0.000
Er: 0.250 0.250 0.750
Ir: 0.000 0.000 0.500

Results
**Magnetization**: 0.002 μB/atom
**Electronic total energy**: -0.1693 Ha/atom


# 7
Here is NaErIr after structural relaxation from OQMD. Energies are from PBE.

Lattice parameters (Å, degrees): 6.600 6.600 6.600 90.00 90.00 90.00
Space group F-43m (No. 216)
Inequivalent atoms, fractional coordinates:
Na: 0.000 0.000 0.000
Er: 0.000 0.000 0.500
Ir: 0.250 0.250 0.750

Results
**Magnetization**: 0.000 μB/atom
**Electronic total energy**: -0.1822 Ha/atom


# 8
Here is NdErIr after structural relaxation from OQMD. Energies are from PBE.

Lattice parameters (Å, degrees): 6.694 6.694 6.694 90.00 90.00 90.00
Space group F-43m (No. 216)
Inequivalent atoms, fractional coordinates:
Nd: 0.000 0.000 0.000
Er: 0.250 0.250 0.750
Ir: 0.000 0.000 0.500

Results
**Magnetization**: 0.000 μB/atom
**Electronic total energy**: -0.2177 Ha/atom